(1)
DFT (PBE-GGA) results for a geometry-optimized ZnAs2Se structure.

a = 10.709 Å, b = 2.755 Å, c = 6.275 Å
α = 90.00°, β = 91.48°, γ = 90.00°
Space group C2/m (No. 12)
Unique sites:
Zn 0.000 0.000 0.000 [2 per cell]
As 0.176 0.500 0.825 [4 per cell]
Se 0.000 0.500 0.500 [2 per cell]

Values from the calculation:
Distance to the lowest polymorph of the same formula in eV/atom: 0.363
Raw formation energy in eV per atom: 0.20
Magnetic moment in μB/atom: 0.000

(2)
DFT (PBE-GGA) results for a geometry-optimized AlCr2Re structure.

a = 5.988 Å, b = 5.988 Å, c = 5.988 Å
α = 90.00°, β = 90.00°, γ = 90.00°
Space group F-43m (No. 216)
Unique sites:
Al 0.000 0.000 0.000 [4 per cell]
Cr 0.000 0.000 0.500 [4 per cell]
Cr 0.250 0.250 0.750 [4 per cell]
Re 0.250 0.250 0.250 [4 per cell]

Values from the calculation:
Formation enthalpy at 0 K in meV per atom: -32
Magnetic moment in μB/atom: 0.448

(3)
DFT (PBE-GGA) results for a geometry-optimized Ce3Pr2SmTe6 structure.

a = 7.756 Å, b = 13.453 Å, c = 7.838 Å
α = 90.00°, β = 109.29°, γ = 90.00°
Space group C2/m (No. 12)
Unique sites:
Ce 0.000 0.000 0.000 [2 per cell]
Ce 0.000 0.331 0.000 [4 per cell]
Pr 0.000 0.166 0.500 [4 per cell]
Sm 0.000 0.500 0.500 [2 per cell]
Te 0.245 0.500 0.247 [4 per cell]
Te 0.248 0.335 0.750 [8 per cell]

Values from the calculation:
Raw formation energy in eV per atom: -1.40
Magnetic moment in μB/atom: 0.284

(4)
DFT (PBE-GGA) results for a geometry-optimized Ta2FeRu structure.

a = 3.132 Å, b = 4.381 Å, c = 9.057 Å
α = 90.00°, β = 90.00°, γ = 90.00°
Space group Imm2 (No. 44)
Unique sites:
Ta 0.000 0.000 0.000 [2 per cell]
Ta 0.000 0.500 0.241 [2 per cell]
Fe 0.000 0.500 0.740 [2 per cell]
Ru 0.000 0.000 0.495 [2 per cell]

Values from the calculation:
Formation enthalpy at 0 K in meV per atom: -129
Magnetic moment in μB/atom: 0.433

(5)
DFT (PBE-GGA) results for a geometry-optimized CaLa3Tc structure.

a = 9.118 Å, b = 7.363 Å, c = 12.200 Å
α = 90.00°, β = 124.90°, γ = 90.00°
Space group P2_1/c (No. 14)
Unique sites:
Ca 0.156 0.172 0.068 [4 per cell]
La 0.067 0.573 0.812 [4 per cell]
La 0.328 0.663 0.202 [4 per cell]
La 0.443 0.230 0.945 [4 per cell]
Tc 0.224 0.619 0.420 [4 per cell]

Values from the calculation:
Formation enthalpy at 0 K in meV per atom: 42
Distance to the lowest polymorph of the same formula in eV/atom: 0.058
Magnetic moment in μB/atom: 0.000

(6)
DFT (PBE-GGA) results for a geometry-optimized CdOsPb structure.

a = 3.1289 Å, b = 3.1289 Å, c = 7.5045 Å
α = 90.00°, β = 90.00°, γ = 120.00°
Space group P3m1 (No. 156)
Unique sites:
Cd 0.0000 0.0000 0.0000 [1 per cell]
Os 0.6667 0.3333 0.2945 [1 per cell]
Pb 0.3333 0.6667 0.5928 [1 per cell]

Values from the calculation:
Formation enthalpy at 0 K in meV per atom: 761
Distance to the lowest polymorph of the same formula in eV/atom: 0.040
Magnetic moment in μB/atom: 0.002

Question: magnetic moment of number 4 (Ta2FeRu)?
Answer: 0.433 μB/atom